# 1
Compound: NaBiBH2
Source: Alexandria
Functional: GGA-PBE
Structure: optimized geometry

Geometry as extended XYZ:
```
5
Lattice="4.1696 0.0000 0.0000 0.0000 4.1696 0.0000 0.0000 0.0000 5.0508" Properties=species:S:1:pos:R:3 pbc="T T T"
Na 0.0000 0.0000 0.0000
Bi 2.0848 2.0848 2.5254
B 2.0848 2.0848 0.0000
H 0.0000 2.0848 2.5254
H 2.0848 0.0000 2.5254
```

total magnetic moment: 0.00 μB per cell
crystal system: tetragonal
volume: 17.562 Å³/atom
DFT total energy: -2.827 eV per atom
density of states at the Fermi level: 2.44 states/eV per cell
space group: P4/mmm (123)

=====

# 2
Compound: BiB4H3O9
Source: Alexandria
Functional: GGA-PBE
Structure: optimized geometry

Geometry as extended XYZ:
```
34
Lattice="4.3709 0.0000 0.0000 0.1439 8.9218 0.0000 1.5991 4.3517 9.6135" Properties=species:S:1:pos:R:3 pbc="T T T"
Bi 1.3481 4.8918 4.4093
Bi 4.7658 8.3817 5.2042
B 1.3292 11.3540 7.1192
B 2.2392 11.3805 9.4787
B 2.6223 9.4510 8.0751
B 2.7381 9.9253 3.5343
B 3.3758 3.3482 6.0793
B 3.4916 3.8225 1.5384
B 3.8747 1.8930 0.1348
B 4.7847 1.9195 2.4944
H 1.3227 6.2104 6.8980
H 0.6245 8.6102 1.0901
H 2.2320 5.2727 1.0284
H 3.8819 8.0009 8.5851
H 5.4894 4.6633 8.5234
H 4.7912 7.0631 2.7155
O 1.5544 11.9805 8.4597
O 1.4799 6.4812 5.9541
O 1.7561 9.9366 7.1376
O 0.8524 7.6302 1.0747
O 1.9764 3.2074 6.1198
O 2.7745 10.0976 9.3144
O 1.8219 1.8779 2.8322
O 2.3468 8.8916 4.3428
O 3.3090 8.2935 7.8293
O 2.8050 4.9800 1.7842
O 3.7671 4.3819 5.2708
O 4.2920 11.3956 6.7813
O 3.3394 3.1759 0.2991
O 4.1375 10.0661 3.4937
O 5.2616 5.6433 8.5388
O 4.3579 3.3369 2.4759
O 4.6340 6.7923 3.6595
O 4.5596 1.2930 1.1538
```

total magnetic moment: 0.00 μB per cell
crystal system: triclinic
volume: 11.026 Å³/atom
DFT total energy: -6.938 eV per atom
density of states at the Fermi level: 0.00 states/eV per cell
space group: P-1 (2)

=====

# 3
Compound: BiBH2O4
Source: Alexandria
Functional: GGA-PBE
Structure: optimized geometry

Geometry as extended XYZ:
```
8
Lattice="-1.9900 2.7979 3.1130 1.9900 -2.7979 3.1130 1.9900 2.7979 -3.1130" Properties=species:S:1:pos:R:3 pbc="T T T"
Bi 0.0000 0.0000 0.0000
B 0.0000 0.0000 3.1130
H 1.9900 0.0000 2.1902
H 0.0000 2.7979 0.9228
O 1.0373 2.0764 -0.9091
O 0.9527 0.7216 2.2039
O 0.9527 -0.7216 4.0222
O 1.0373 3.5195 0.9091
```

total magnetic moment: 0.00 μB per cell
crystal system: orthorhombic
volume: 8.666 Å³/atom
DFT total energy: -6.016 eV per atom
density of states at the Fermi level: 0.00 states/eV per cell
space group: I222 (23)

=====

# 4
Compound: Bi2BHPd6
Source: Alexandria
Functional: GGA-PBE
Structure: optimized geometry

Geometry as extended XYZ:
```
10
Lattice="4.2578 -4.2608 0.0000 4.2578 4.2608 0.0000 -4.2342 0.0000 4.2818" Properties=species:S:1:pos:R:3 pbc="T T T"
Bi 4.2578 2.1310 0.0000
Bi 4.2578 -2.1310 0.0000
B -2.1171 0.0000 2.1409
H 2.1407 0.0000 2.1409
Pd 2.1305 0.0000 0.0106
Pd 2.1407 2.1146 2.1409
Pd 0.0277 0.0000 2.1475
Pd 4.2537 0.0000 2.1343
Pd 2.1407 -2.1146 2.1409
Pd 2.1509 0.0000 4.2711
```

total magnetic moment: 0.00 μB per cell
crystal system: monoclinic
volume: 15.536 Å³/atom
DFT total energy: -5.126 eV per atom
density of states at the Fermi level: 5.52 states/eV per cell
space group: C2/m (12)

=====

Which formula does entry 2 have? BiB4H3O9

=====

Repeat the second record exactly.
Compound: BiB4H3O9
Source: Alexandria
Functional: GGA-PBE
Structure: optimized geometry

Geometry as extended XYZ:
```
34
Lattice="4.3709 0.0000 0.0000 0.1439 8.9218 0.0000 1.5991 4.3517 9.6135" Properties=species:S:1:pos:R:3 pbc="T T T"
Bi 1.3481 4.8918 4.4093
Bi 4.7658 8.3817 5.2042
B 1.3292 11.3540 7.1192
B 2.2392 11.3805 9.4787
B 2.6223 9.4510 8.0751
B 2.7381 9.9253 3.5343
B 3.3758 3.3482 6.0793
B 3.4916 3.8225 1.5384
B 3.8747 1.8930 0.1348
B 4.7847 1.9195 2.4944
H 1.3227 6.2104 6.8980
H 0.6245 8.6102 1.0901
H 2.2320 5.2727 1.0284
H 3.8819 8.0009 8.5851
H 5.4894 4.6633 8.5234
H 4.7912 7.0631 2.7155
O 1.5544 11.9805 8.4597
O 1.4799 6.4812 5.9541
O 1.7561 9.9366 7.1376
O 0.8524 7.6302 1.0747
O 1.9764 3.2074 6.1198
O 2.7745 10.0976 9.3144
O 1.8219 1.8779 2.8322
O 2.3468 8.8916 4.3428
O 3.3090 8.2935 7.8293
O 2.8050 4.9800 1.7842
O 3.7671 4.3819 5.2708
O 4.2920 11.3956 6.7813
O 3.3394 3.1759 0.2991
O 4.1375 10.0661 3.4937
O 5.2616 5.6433 8.5388
O 4.3579 3.3369 2.4759
O 4.6340 6.7923 3.6595
O 4.5596 1.2930 1.1538
```

total magnetic moment: 0.00 μB per cell
crystal system: triclinic
volume: 11.026 Å³/atom
DFT total energy: -6.938 eV per atom
density of states at the Fermi level: 0.00 states/eV per cell
space group: P-1 (2)

=====

Which value of DFT total energy does entry 3 give? -6.016 eV per atom

=====

Repeat the first record exactly.
Compound: NaBiBH2
Source: Alexandria
Functional: GGA-PBE
Structure: optimized geometry

Geometry as extended XYZ:
```
5
Lattice="4.1696 0.0000 0.0000 0.0000 4.1696 0.0000 0.0000 0.0000 5.0508" Properties=species:S:1:pos:R:3 pbc="T T T"
Na 0.0000 0.0000 0.0000
Bi 2.0848 2.0848 2.5254
B 2.0848 2.0848 0.0000
H 0.0000 2.0848 2.5254
H 2.0848 0.0000 2.5254
```

total magnetic moment: 0.00 μB per cell
crystal system: tetragonal
volume: 17.562 Å³/atom
DFT total energy: -2.827 eV per atom
density of states at the Fermi level: 2.44 states/eV per cell
space group: P4/mmm (123)